(1)
PBE-GGA Y2AlNi2, relaxed; SG = No. 139; formation energy from the elements = -293 meV/atom; mass density = 5.20 Mg/m³; total moment = 0.0 Bohr magnetons per cell
1.0
5.324 0.000 0.000
0.000 5.324 0.000
0.000 0.000 7.258
Y Al Ni
4 2 4
Direct
0.000 0.500 0.250
0.000 0.500 0.750
0.500 0.000 0.250
0.500 0.000 0.750
0.000 0.000 0.000
0.500 0.500 0.500
0.000 0.000 0.342
0.000 0.000 0.658
0.500 0.500 0.158
0.500 0.500 0.842

***

(2)
PBE-GGA Y2AlNi2, relaxed; SG = No. 127; formation energy from the elements = -482 meV/atom; mass density = 5.57 Mg/m³; total moment = 0.0 Bohr magnetons per cell
1.0
7.130 0.000 0.000
0.000 7.130 0.000
0.000 0.000 3.776
Y Al Ni
4 2 4
Direct
0.180 0.320 0.000
0.320 0.820 0.000
0.680 0.180 0.000
0.820 0.680 0.000
0.000 0.000 0.500
0.500 0.500 0.500
0.122 0.622 0.500
0.378 0.122 0.500
0.622 0.878 0.500
0.878 0.378 0.500

***

(3)
PBE-GGA Y3Al19Ni5, relaxed; SG = No. 63; formation energy from the elements = -509 meV/atom; mass density = 4.04 Mg/m³; total moment = 0.0 Bohr magnetons per cell
1.0
2.039 -7.988 0.000
2.039 7.988 0.000
0.000 0.000 27.074
Y Al Ni
6 38 10
Direct
0.112 0.888 0.750
0.333 0.667 0.635
0.333 0.667 0.865
0.667 0.333 0.135
0.667 0.333 0.365
0.888 0.112 0.250
0.037 0.963 0.101
0.037 0.963 0.399
0.079 0.921 0.202
0.079 0.921 0.298
0.094 0.906 0.537
0.094 0.906 0.963
0.129 0.871 0.635
0.129 0.871 0.865
0.265 0.735 0.529
0.265 0.735 0.971
0.277 0.723 0.194
0.277 0.723 0.306
0.291 0.709 0.089
0.291 0.709 0.411
0.306 0.694 0.750
0.432 0.568 0.531
0.432 0.568 0.969
0.465 0.535 0.174
0.465 0.535 0.326
0.535 0.465 0.674
0.535 0.465 0.826
0.568 0.432 0.031
0.568 0.432 0.469
0.694 0.306 0.250
0.709 0.291 0.589
0.709 0.291 0.911
0.723 0.277 0.694
0.723 0.277 0.806
0.735 0.265 0.029
0.735 0.265 0.471
0.871 0.129 0.135
0.871 0.129 0.365
0.906 0.094 0.037
0.906 0.094 0.463
0.921 0.079 0.702
0.921 0.079 0.798
0.963 0.037 0.601
0.963 0.037 0.899
0.159 0.841 0.042
0.159 0.841 0.458
0.446 0.554 0.085
0.446 0.554 0.415
0.454 0.546 0.750
0.546 0.454 0.250
0.554 0.446 0.585
0.554 0.446 0.915
0.841 0.159 0.542
0.841 0.159 0.958

***

(4)
PBE-GGA Y3AlNi2, relaxed; SG = No. 65; formation energy from the elements = 47 meV/atom; mass density = 5.01 Mg/m³; total moment = 0.0 Bohr magnetons per cell
1.0
4.794 -8.294 0.000
4.794 8.294 0.000
0.000 0.000 5.136
Y Al Ni
9 3 6
Direct
0.000 0.000 0.000
0.000 0.500 0.000
0.184 0.184 0.500
0.184 0.500 0.500
0.500 0.000 0.000
0.500 0.184 0.500
0.500 0.816 0.500
0.816 0.500 0.500
0.816 0.816 0.500
0.167 0.833 0.500
0.500 0.500 0.000
0.833 0.167 0.500
0.204 0.352 0.000
0.352 0.204 0.000
0.352 0.648 0.000
0.648 0.352 0.000
0.648 0.796 0.000
0.796 0.648 0.000

***

(5)
PBE-GGA Y4AlNi, relaxed; SG = No. 15; formation energy from the elements = -243 meV/atom; mass density = 4.65 Mg/m³; total moment = 0.0 Bohr magnetons per cell
1.0
4.308 -6.224 0.000
4.308 6.224 0.000
-1.757 0.000 5.880
Y Al Ni
8 2 2
Direct
0.056 0.724 0.958
0.210 0.380 0.597
0.276 0.944 0.542
0.380 0.210 0.097
0.620 0.790 0.903
0.724 0.056 0.458
0.790 0.620 0.403
0.944 0.276 0.042
0.376 0.624 0.250
0.624 0.376 0.750
0.002 0.998 0.750
0.998 0.002 0.250

***

(6)
PBE-GGA Y3Al3Ni, relaxed; SG = No. 12; formation energy from the elements = -472 meV/atom; mass density = 4.32 Mg/m³; total moment = 0.0 Bohr magnetons per cell
1.0
5.709 -1.872 0.000
5.709 1.872 0.000
-4.316 0.000 14.607
Y Al Ni
6 6 2
Direct
0.016 0.016 0.388
0.126 0.126 0.922
0.241 0.241 0.241
0.759 0.759 0.759
0.874 0.874 0.078
0.984 0.984 0.612
0.316 0.316 0.461
0.403 0.403 0.923
0.480 0.480 0.771
0.520 0.520 0.229
0.597 0.597 0.077
0.684 0.684 0.539
0.296 0.296 0.626
0.704 0.704 0.374

***

(7)
PBE-GGA Y2Al9Ni3, relaxed; SG = No. 15; formation energy from the elements = -567 meV/atom; mass density = 4.41 Mg/m³; total moment = 0.0 Bohr magnetons per cell
1.0
6.480 -3.718 0.000
6.480 3.718 0.000
-4.318 0.000 9.327
Y Al Ni
4 18 6
Direct
0.086 0.253 0.250
0.253 0.086 0.750
0.747 0.914 0.250
0.914 0.747 0.750
0.021 0.859 0.070
0.141 0.979 0.430
0.189 0.357 0.569
0.207 0.582 0.252
0.314 0.485 0.951
0.357 0.189 0.069
0.368 0.632 0.750
0.418 0.793 0.248
0.485 0.314 0.451
0.515 0.686 0.549
0.582 0.207 0.752
0.632 0.368 0.250
0.643 0.811 0.931
0.686 0.515 0.049
0.793 0.418 0.748
0.811 0.643 0.431
0.859 0.021 0.570
0.979 0.141 0.930
0.000 0.500 0.000
0.160 0.670 0.499
0.330 0.840 0.001
0.500 0.000 0.500
0.670 0.160 0.999
0.840 0.330 0.501

***

(8)
PBE-GGA YAl6Ni6, relaxed; SG = No. 71; formation energy from the elements = -591 meV/atom; mass density = 5.62 Mg/m³; total moment = 0.0 Bohr magnetons per cell
1.0
-2.476 4.164 4.322
2.476 -4.164 4.322
2.476 4.164 -4.322
Y Al Ni
1 6 6
Direct
0.000 0.000 0.000
0.194 0.694 0.500
0.341 0.000 0.341
0.347 0.347 0.000
0.653 0.653 0.000
0.659 0.000 0.659
0.806 0.306 0.500
0.000 0.000 0.500
0.000 0.500 0.000
0.234 0.500 0.734
0.500 0.000 0.000
0.500 0.500 0.500
0.766 0.500 0.266